GdScAgRu, optimized geometry, DFT PBE; formation enthalpy at 0 K = -322 meV per atom
1.0
4.853 0.000 0.000
2.427 4.203 0.000
2.427 1.401 3.963
Sc Ru Gd Ag
1 1 1 1
direct
0.000 0.000 0.000
0.750 0.750 0.750
0.500 0.500 0.500
0.250 0.250 0.250

***

GdThAgRu, optimized geometry, DFT PBE; formation enthalpy at 0 K = -235 meV per atom
1.0
-3.483 3.184 1.908
-4.120 1.201 -2.736
-4.573 -1.760 1.379
Ru Gd Ag Th
1 1 1 1
direct
0.750 0.750 0.750
0.000 0.000 0.000
0.250 0.250 0.250
0.500 0.500 0.500

***

Gd3Ag5S12, optimized geometry, DFT PBE; E_form (uncorrected) = -10.5 eV/f.u.
1.0
-1.593 12.861 -3.107
-2.738 -7.517 -10.659
-8.260 -3.223 9.949
Gd Ag S
12 20 48
direct
0.750 0.375 0.125
0.875 0.750 0.125
0.375 0.750 0.625
0.250 0.125 0.375
0.875 0.125 0.250
0.375 0.625 0.250
0.625 0.375 0.750
0.125 0.875 0.750
0.750 0.875 0.625
0.625 0.250 0.375
0.125 0.250 0.875
0.250 0.625 0.875
0.125 0.375 0.250
0.000 0.500 0.000
0.000 0.000 0.000
0.375 0.250 0.125
0.500 0.000 0.500
0.500 0.500 0.000
0.125 0.750 0.375
0.750 0.125 0.875
0.750 0.625 0.375
0.375 0.125 0.750
0.625 0.875 0.250
0.500 0.500 0.500
0.500 0.000 0.000
0.000 0.000 0.500
0.250 0.375 0.625
0.250 0.875 0.125
0.000 0.500 0.500
0.875 0.250 0.625
0.625 0.750 0.875
0.875 0.625 0.750
0.713 0.133 0.045
0.332 0.545 0.412
0.955 0.367 0.287
0.545 0.213 0.133
0.580 0.713 0.668
0.955 0.588 0.168
0.332 0.787 0.420
0.088 0.920 0.133
0.588 0.955 0.668
0.713 0.580 0.168
0.787 0.455 0.367
0.832 0.912 0.045
0.133 0.713 0.545
0.367 0.412 0.080
0.080 0.912 0.367
0.420 0.133 0.588
0.080 0.168 0.213
0.455 0.668 0.088
0.832 0.920 0.287
0.133 0.420 0.088
0.367 0.955 0.787
0.588 0.633 0.420
0.912 0.832 0.545
0.787 0.332 0.920
0.412 0.367 0.580
0.088 0.168 0.455
0.213 0.668 0.080
0.168 0.080 0.713
0.633 0.045 0.213
0.867 0.580 0.912
0.545 0.332 0.912
0.580 0.867 0.412
0.920 0.832 0.787
0.920 0.088 0.633
0.867 0.287 0.455
0.168 0.088 0.955
0.633 0.588 0.920
0.412 0.045 0.332
0.287 0.420 0.832
0.213 0.545 0.633
0.912 0.080 0.867
0.668 0.213 0.580
0.455 0.787 0.867
0.045 0.412 0.832
0.420 0.287 0.332
0.045 0.633 0.713
0.668 0.455 0.588
0.287 0.867 0.955

***

Gd5AgS8, optimized geometry, DFT PBE; E_form (uncorrected) = -25.8 eV/f.u.
1.0
-2.472 -6.853 -0.060
-4.747 4.216 3.574
0.741 2.398 -6.840
Gd Ag S
5 1 8
direct
0.634 0.748 0.618
0.984 0.366 0.114
0.131 0.016 0.382
0.252 0.869 0.886
0.500 0.500 0.000
0.750 0.250 0.500
0.379 0.268 0.247
0.357 0.746 0.239
0.732 0.979 0.112
0.868 0.621 0.888
0.507 0.118 0.761
0.882 0.643 0.389
0.254 0.493 0.611
0.021 0.132 0.753

***

GdAgSb2, optimized geometry, DFT PBE; E_form (uncorrected) = -1.3 eV/f.u.
1.0
4.969 0.000 0.000
2.484 4.303 0.000
2.484 1.434 4.810
Sb Gd Ag
2 1 1
direct
0.265 0.265 0.205
0.735 0.735 0.795
0.500 0.500 0.500
0.000 0.000 0.000

***

GdAgSb, optimized geometry, DFT PBE; E_form (uncorrected) = -1.8 eV/f.u.
1.0
4.106 0.000 0.000
0.000 4.622 0.000
0.000 -2.311 4.003
Sb Gd Ag
1 1 1
direct
0.210 0.333 0.667
0.677 0.667 0.333
0.113 0.000 0.000

***

GdAg2Sb, optimized geometry, DFT PBE; E_form (uncorrected) = 1.1 eV/f.u.
1.0
3.212 0.000 0.000
1.606 2.782 0.000
1.606 0.927 10.944
Sb Gd Ag
1 1 2
direct
0.500 0.500 0.500
0.000 0.000 0.000
0.090 0.090 0.729
0.910 0.910 0.271

***

GdAg2Sb, optimized geometry, DFT PBE; E_form (uncorrected) = -1.7 eV/f.u.
1.0
4.904 0.000 0.000
0.000 4.332 0.000
0.000 0.000 4.332
Sb Gd Ag
1 1 2
direct
0.500 0.500 0.500
0.500 0.000 0.000
0.000 0.000 0.500
0.000 0.500 0.000